Entry 1:
First-principles (PBE-GGA) data for an optimized crystal structure of BaAlCdP2, as listed in Alexandria via LeMat-Bulk.

Lattice parameters (Å, degrees): 5.675 6.370 5.675 90.00 90.00 90.00
Fractional coordinates of all 5 atoms:
P: 0.500 0.000 0.000
P: 0.000 0.000 0.500
Cd: 0.000 0.500 0.000
Ba: 0.000 0.000 0.000
Al: 0.500 0.500 0.500

Entry 2:
First-principles (PBE-GGA) data for an optimized crystal structure of GdSnBi2, as listed in Alexandria via LeMat-Bulk.

Lattice parameters (Å, degrees): 5.572 5.572 5.572 60.00 60.00 60.00
Site moments in Bohr magnetons follow the coordinates.
Fractional coordinates of all 4 atoms:
Sn: 0.000 0.000 0.000  -0.01
Bi: 0.750 0.750 0.750  -0.03
Bi: 0.250 0.250 0.250  -0.03
Gd: 0.500 0.500 0.500  6.97

Values from the calculation:
Energy above the most stable polymorph in this dataset   60 kJ/mol of formula units

Entry 3:
First-principles (PBE-GGA) data for an optimized crystal structure of SmTlHgPt, as listed in Alexandria via LeMat-Bulk.

Lattice parameters (Å, degrees): 5.088 5.088 5.088 60.00 60.00 60.00
Fractional coordinates of all 4 atoms:
Sm: 0.000 0.000 0.000
Hg: 0.250 0.250 0.250
Pt: 0.750 0.750 0.750
Tl: 0.500 0.500 0.500

Raw total energy for every record listed, in sequence, given in eV per cell: -11.8 -26.9 -15.4.
V for every record listed, in sequence, given in Å³/f.u.: 205.1 122.3 93.2.
M_tot for every record listed, in sequence, given in μB/atom: 0.000 1.753 0.000.